No. 1
Computed, not measured: an optimized crystal structure of GaAsPd6 at the PBE-GGA level of DFT.

As for the total moment: 0.00 μB/atom. As for the space group: P-1, No. 2. The value obtained for the total energy is -5.105 eV per atom. For the offset from the most stable computed form, the calculation gives 0.49 eV per formula unit. As for the energy relative to the elements: -24 kJ per mole of atoms.

Cell: 5.380 5.380 5.386 Å, 69.04 69.27 69.17°
Sites, in units of the cell vectors:
Ga 0.000 0.000 0.000
As 0.500 0.500 0.500
Pd 0.024 0.746 0.483
Pd 0.254 0.517 0.975
Pd 0.483 0.024 0.746
Pd 0.517 0.976 0.254
Pd 0.746 0.483 0.025
Pd 0.976 0.254 0.517


No. 2
Computed, not measured: an optimized crystal structure of ScBeIr at the PBE-GGA level of DFT.

As for the total moment: 0.00 μB/atom. As for the space group: F-43m, No. 216. The value obtained for the total energy is -6.019 eV per atom. For the offset from the most stable computed form, the calculation gives 3.03 eV per formula unit. As for the energy relative to the elements: 28 kJ per mole of atoms.

Cell: 4.246 4.246 4.246 Å, 60.00 60.00 60.00°
Sites, in units of the cell vectors:
Sc 0.000 0.000 0.000
Be 0.750 0.750 0.750
Ir 0.250 0.250 0.250


No. 3
Computed, not measured: an optimized crystal structure of Cu2Ag at the PBE-GGA level of DFT.

As for the total moment: 0.00 μB/atom. As for the space group: P-3m1, No. 164. The value obtained for the total energy is -3.550 eV per atom. For the offset from the most stable computed form, the calculation gives 0.21 eV per formula unit. As for the energy relative to the elements: 13 kJ per mole of atoms.

Cell: 4.252 4.252 2.702 Å, 90.00 90.00 120.00°
Sites, in units of the cell vectors:
Cu 0.333 0.667 0.421
Cu 0.667 0.333 0.579
Ag 0.000 0.000 0.000


No. 4
Computed, not measured: an optimized crystal structure of TaVPdAu at the PBE-GGA level of DFT.

As for the total moment: 0.28 μB/atom. As for the space group: P4mm, No. 99. The value obtained for the total energy is -7.536 eV per atom. As for the energy relative to the elements: -17 kJ per mole of atoms.

Cell: 3.286 3.286 6.029 Å, 90.00 90.00 90.00°
Sites, in units of the cell vectors:
Ta 0.000 0.000 0.000
V 0.500 0.500 0.256
Pd 0.500 0.500 0.761
Au 0.000 0.000 0.490


No. 5
Computed, not measured: an optimized crystal structure of CrTcBr2 at the PBE-GGA level of DFT.

As for the total moment: 1.18 μB/atom. As for the space group: F-43m, No. 216. The value obtained for the total energy is -4.662 eV per atom. For the offset from the most stable computed form, the calculation gives 4.44 eV per formula unit. The formation energy without anion corrections comes out at 1.17 eV per atom.

Cell: 4.786 4.786 4.786 Å, 60.00 60.00 60.00°
Sites, in units of the cell vectors:
Cr 0.000 0.000 0.000
Tc 0.750 0.750 0.750
Br 0.250 0.250 0.250
Br 0.500 0.500 0.500


No. 6
Computed, not measured: an optimized crystal structure of ReHgAs at the PBE-GGA level of DFT.

As for the total moment: 0.00 μB/atom. As for the space group: F-43m, No. 216. The value obtained for the total energy is -4.758 eV per atom. For the offset from the most stable computed form, the calculation gives 2.12 eV per formula unit. As for the energy relative to the elements: 101 kJ per mole of atoms.

Cell: 4.354 4.354 4.354 Å, 60.00 60.00 60.00°
Sites, in units of the cell vectors:
Re 0.000 0.000 0.000
Hg 0.500 0.500 0.500
As 0.250 0.250 0.250


No. 7
Computed, not measured: an optimized crystal structure of Pa2BeSiIr6 at the PBE-GGA level of DFT.

As for the total moment: 0.10 μB/atom. As for the space group: Fm-3m, No. 225. The value obtained for the total energy is -8.494 eV per atom. The formation energy without anion corrections comes out at -0.36 eV per atom.

Cell: 6.222 6.222 6.222 Å, 60.00 60.00 60.00°
Sites, in units of the cell vectors:
Pa 0.250 0.250 0.250
Pa 0.750 0.750 0.750
Be 0.000 0.000 0.000
Si 0.500 0.500 0.500
Ir 0.241 0.241 0.759
Ir 0.241 0.759 0.241
Ir 0.241 0.759 0.759
Ir 0.759 0.241 0.241
Ir 0.759 0.241 0.759
Ir 0.759 0.759 0.241


No. 8
Computed, not measured: an optimized crystal structure of TlRu2F11 at the PBE-GGA level of DFT.

As for the total moment: 0.43 μB/atom. As for the space group: Ibam, No. 72. The value obtained for the total energy is -4.733 eV per atom. The formation energy without anion corrections comes out at -1.77 eV per atom.

Cell: 8.779 8.779 8.779 Å, 115.55 111.77 101.41°
Sites, in units of the cell vectors:
Tl 0.250 0.250 0.000
Tl 0.750 0.750 0.000
Ru 0.162 0.635 0.796
Ru 0.338 0.135 0.473
Ru 0.662 0.865 0.527
Ru 0.838 0.365 0.204
F 0.000 0.500 0.500
F 0.047 0.378 0.183
F 0.123 0.401 0.764
F 0.136 0.901 0.277
F 0.189 0.254 0.444
F 0.194 0.864 0.817
F 0.306 0.122 0.669
F 0.311 0.754 0.065
F 0.364 0.641 0.764
F 0.377 0.141 0.277
F 0.453 0.636 0.331
F 0.500 0.000 0.500
F 0.547 0.364 0.669
F 0.623 0.859 0.723
F 0.636 0.359 0.236
F 0.689 0.246 0.935
F 0.694 0.878 0.331
F 0.806 0.136 0.183
F 0.811 0.746 0.556
F 0.864 0.099 0.723
F 0.877 0.599 0.236
F 0.953 0.622 0.817